Here is crystalline PtC2Cl2O2 at its relaxed geometry from OQMD via LeMat-Bulk. Energies are from PBE.

The calculation puts the total energy at -42.39 eV per formula unit.

It has space group P2_1/c (No. 14), with a = 7.191 Å, b = 12.823 Å, c = 6.598 Å, α = 90.00°, β = 104.81° and γ = 90.00°. The inequivalent atoms are Pt at (0.109, 0.230, 0.220), C at (0.107, 0.640, 0.337), C at (0.296, 0.123, 0.272), Cl at (0.107, 0.632, 0.840), Cl at (0.366, 0.156, 0.786), O at (0.239, 0.587, 0.375) and O at (0.411, 0.059, 0.302).